Density functional theory data (PBE) for Sm3I7Cl after structural relaxation.

Results
For the formation energy from raw total energies, the calculation gives -15.831 eV/f.u.

Unit cell a=8.7303 b=8.7303 c=7.6690 alpha=90.00 beta=90.00 gamma=120.00
Space group P3m1 (No. 156)
Asymmetric unit:
Sm: 0.0049 0.5025 0.0000
I: 0.1674 0.3347 0.7616
I: 0.3368 0.1684 0.2360
I: 0.6667 0.3333 0.7566
Cl: 0.3333 0.6667 0.1805

=====

Density functional theory data (PBE) for Sm3ReC3 after structural relaxation.

Results
For the formation energy, the calculation gives -281 meV/atom.

Unit cell a=8.861 b=10.705 c=5.313 alpha=90.00 beta=90.00 gamma=90.00
Space group Cmcm (No. 63)
Asymmetric unit:
Sm: 0.000 0.108 0.250
Sm: 0.210 0.381 0.250
Re: 0.000 0.306 0.750
C: 0.000 0.125 0.750
C: 0.202 0.376 0.750

=====

Density functional theory data (PBE) for BaAg2P after structural relaxation.

Results
For the formation energy, the calculation gives 172 meV/atom.

Unit cell a=3.710 b=4.125 c=6.573 alpha=90.00 beta=90.00 gamma=90.00
Space group Pmmm (No. 47)
Asymmetric unit:
Ba: 0.000 0.000 0.000
Ag: 0.500 0.500 0.297
P: 0.000 0.000 0.500

=====

Density functional theory data (PBE) for AgSb2Te after structural relaxation.

Results
For the formation energy from raw total energies, the calculation gives 0.930 eV/f.u.

Unit cell a=3.192 b=3.192 c=10.524 alpha=90.00 beta=90.00 gamma=90.00
Space group P4mm (No. 99)
Asymmetric unit:
Ag: 0.000 0.000 0.000
Sb: 0.000 0.000 0.459
Sb: 0.500 0.500 0.207
Te: 0.500 0.500 0.783

=====

Density functional theory data (PBE) for La6Pr8Tm after structural relaxation.

Results
For the formation energy, the calculation gives 95 meV/atom.

Unit cell a=9.4104 b=9.4104 c=21.3966 alpha=90.00 beta=90.00 gamma=120.00
Space group R-3 (No. 148, hexagonal axes)
Asymmetric unit:
La: 0.0510 0.2477 0.2093
Pr: 0.0000 0.0000 0.0780
Pr: 0.0804 0.5679 0.3059
Tm: 0.0000 0.0000 0.5000

=====

Density functional theory data (PBE) for LiCr4Ag after structural relaxation.

Results
For the formation energy, the calculation gives 539 meV/atom.

Unit cell a=6.828 b=6.828 c=6.828 alpha=90.00 beta=90.00 gamma=90.00
Space group F-43m (No. 216)
Asymmetric unit:
Li: 0.000 0.000 0.000
Cr: 0.128 0.128 0.372
Ag: 0.250 0.250 0.750